# HfReMo, relaxed, DFT PBE-GGA
data_HfReMo
_cell_length_a 4.395
_cell_length_b 4.395
_cell_length_c 4.395
_cell_angle_alpha 60.00
_cell_angle_beta 60.00
_cell_angle_gamma 60.00
_space_group_name_H-M_alt 'P 1'
_space_group_IT_number 1
_space_group_name_Hall 'P 1'
loop_
_atom_site_label
_atom_site_type_symbol
_atom_site_fract_x
_atom_site_fract_y
_atom_site_fract_z
Mo1 Mo 0.250 0.250 0.250
Re1 Re 0.750 0.750 0.750
Hf1 Hf 0.000 0.000 0.000
# total energy	-0.3606	hartree per atom
# space-group type	F-43m, No. 216
# crystal system	cubic
# formation enthalpy at 0 K	1263	meV per atom